#i
Below is a geometry-optimized ZnAs2PtBr structure, with properties calculated at the PBE-GGA level.

It has space group Pmmm (No. 47), with a = 4.782 Å, b = 4.821 Å, c = 4.996 Å, α = 90.00°, β = 90.00° and γ = 90.00°. The asymmetric unit holds Zn at (0.000, 0.000, 0.000), As at (0.500, 0.000, 0.000), As at (0.500, 0.500, 0.500), Pt at (0.000, 0.500, 0.000) and Br at (0.000, 0.000, 0.500).


#ii
Below is a geometry-optimized ZnAs2PtBr structure, with properties calculated at the PBE-GGA level.

It has space group P4/mmm (No. 123), with a = 4.884 Å, b = 4.884 Å, c = 5.408 Å, α = 90.00°, β = 90.00° and γ = 90.00°. The asymmetric unit holds Zn at (0.000, 0.000, 0.000), As at (0.000, 0.500, 0.500), Pt at (0.500, 0.500, 0.500) and Br at (0.500, 0.500, 0.000).


If we sort the structures by their calculated energies, the order from most to least stable is #ii, #i.


#i
Below is a geometry-optimized ZrAs2PtBr structure, with properties calculated at the PBE-GGA level.

It has space group P4/mmm (No. 123), with a = 5.241 Å, b = 5.241 Å, c = 5.049 Å, α = 90.00°, β = 90.00° and γ = 90.00°. The asymmetric unit holds Zr at (0.000, 0.000, 0.000), As at (0.000, 0.500, 0.000), Pt at (0.500, 0.500, 0.500) and Br at (0.000, 0.000, 0.500).


#ii
Below is a geometry-optimized ZrAs2PtBr structure, with properties calculated at the PBE-GGA level.

It has space group P4/mmm (No. 123), with a = 4.886 Å, b = 4.886 Å, c = 5.000 Å, α = 90.00°, β = 90.00° and γ = 90.00°. The asymmetric unit holds Zr at (0.000, 0.000, 0.000), As at (0.000, 0.500, 0.500), Pt at (0.500, 0.500, 0.500) and Br at (0.500, 0.500, 0.000).


If we sort the structures by their calculated energies, the order from most to least stable is #ii, #i.


#i
Below is a geometry-optimized ZrAsPtBr2 structure, with properties calculated at the PBE-GGA level.

It has space group P4/mmm (No. 123), with a = 5.128 Å, b = 5.128 Å, c = 5.458 Å, α = 90.00°, β = 90.00° and γ = 90.00°. The asymmetric unit holds Zr at (0.000, 0.000, 0.000), As at (0.000, 0.000, 0.500), Pt at (0.500, 0.500, 0.500) and Br at (0.000, 0.500, 0.000).


#ii
Below is a geometry-optimized ZrAsPtBr2 structure, with properties calculated at the PBE-GGA level.

It has space group P4/mmm (No. 123), with a = 5.020 Å, b = 5.020 Å, c = 5.029 Å, α = 90.00°, β = 90.00° and γ = 90.00°. The asymmetric unit holds Zr at (0.000, 0.000, 0.000), As at (0.500, 0.500, 0.000), Pt at (0.500, 0.500, 0.500) and Br at (0.000, 0.500, 0.500).


If we sort the structures by their calculated energies, the order from most to least stable is #i, #ii.


#i
Below is a geometry-optimized Rb3As2Br8 structure, with properties calculated at the PBE-GGA level.

It has space group R-3m (No. 166, hexagonal axes), with a = 7.6994 Å, b = 7.6994 Å, c = 30.6345 Å, α = 90.00°, β = 90.00° and γ = 120.00°. The asymmetric unit holds Rb at (0.0000, 0.0000, 0.0000), Rb at (0.0000, 0.0000, 0.2050), As at (0.0000, 0.0000, 0.4007), Br at (0.0000, 0.0000, 0.3155) and Br at (0.0180, 0.5090, 0.7707).


#ii
Below is a geometry-optimized Rb3As2Br8 structure, with properties calculated at the PBE-GGA level.

It has space group P-1 (No. 2), with a = 8.016 Å, b = 8.026 Å, c = 10.110 Å, α = 66.79°, β = 66.83° and γ = 64.28°. The asymmetric unit holds Rb at (0.000, 0.000, 0.000), Rb at (0.202, 0.201, 0.347), As at (0.444, 0.444, 0.670), Br at (0.199, 0.760, 0.320), Br at (0.240, 0.801, 0.680), Br at (0.265, 0.265, 0.656) and Br at (0.327, 0.327, 0.969).


If we sort the structures by their calculated energies, the order from most to least stable is #ii, #i.


#i
Below is a geometry-optimized Rb2AsBr4 structure, with properties calculated at the PBE-GGA level.

It has space group I4/mmm (No. 139), with a = 5.599 Å, b = 5.599 Å, c = 16.932 Å, α = 90.00°, β = 90.00° and γ = 90.00°. The asymmetric unit holds Rb at (0.000, 0.000, 0.135), As at (0.000, 0.000, 0.500), Br at (0.000, 0.000, 0.340) and Br at (0.000, 0.500, 0.000).


#ii
Below is a geometry-optimized Rb2AsBr4 structure, with properties calculated at the PBE-GGA level.

It has space group I4/mmm (No. 139), with a = 7.960 Å, b = 7.960 Å, c = 9.098 Å, α = 90.00°, β = 90.00° and γ = 90.00°. The asymmetric unit holds Rb at (0.000, 0.500, 0.250), As at (0.000, 0.000, 0.000) and Br at (0.237, 0.237, 0.000).


If we sort the structures by their calculated energies, the order from most to least stable is #ii, #i.


#i
Below is a geometry-optimized RbAs3Br structure, with properties calculated at the PBE-GGA level.

It has space group Pm-3m (No. 221), with a = 5.345 Å, b = 5.345 Å, c = 5.345 Å, α = 90.00°, β = 90.00° and γ = 90.00°. The asymmetric unit holds Rb at (0.000, 0.000, 0.000), As at (0.000, 0.500, 0.500) and Br at (0.500, 0.500, 0.500).


#ii
Below is a geometry-optimized RbAs3Br structure, with properties calculated at the PBE-GGA level.

It has space group Pm-3m (No. 221), with a = 7.013 Å, b = 7.013 Å, c = 7.013 Å, α = 90.00°, β = 90.00° and γ = 90.00°. The asymmetric unit holds Rb at (0.000, 0.000, 0.000), As at (0.000, 0.000, 0.500) and Br at (0.500, 0.500, 0.500).


If we sort the structures by their calculated energies, the order from most to least stable is #i, #ii.


#i
Below is a geometry-optimized Rb3AsBr6 structure, with properties calculated at the PBE-GGA level.

It has space group Fm-3m (No. 225), with a = 11.799 Å, b = 11.799 Å, c = 11.799 Å, α = 90.00°, β = 90.00° and γ = 90.00°. The asymmetric unit holds Rb at (0.000, 0.000, 0.000), Rb at (0.250, 0.250, 0.250), As at (0.000, 0.000, 0.500) and Br at (0.000, 0.000, 0.274).


#ii
Below is a geometry-optimized Rb3AsBr6 structure, with properties calculated at the PBE-GGA level.

It has space group P2_1/c (No. 14), with a = 8.031 Å, b = 8.468 Å, c = 13.986 Å, α = 90.00°, β = 124.30° and γ = 90.00°. The asymmetric unit holds Rb at (0.000, 0.000, 0.000), Rb at (0.279, 0.076, 0.753), As at (0.500, 0.000, 0.500), Br at (0.173, 0.035, 0.283), Br at (0.282, 0.670, 0.054) and Br at (0.401, 0.232, 0.062).


If we sort the structures by their calculated energies, the order from most to least stable is #ii, #i.


#i
Below is a geometry-optimized Rb2As2Br structure, with properties calculated at the PBE-GGA level.

It has space group P4/mbm (No. 127), with a = 9.157 Å, b = 9.157 Å, c = 4.577 Å, α = 90.00°, β = 90.00° and γ = 90.00°. The asymmetric unit holds Rb at (0.205, 0.295, 0.000), As at (0.085, 0.585, 0.500) and Br at (0.000, 0.000, 0.500).


#ii
Below is a geometry-optimized Rb2As2Br structure, with properties calculated at the PBE-GGA level.

It has space group I4/mmm (No. 139), with a = 3.932 Å, b = 3.932 Å, c = 20.508 Å, α = 90.00°, β = 90.00° and γ = 90.00°. The asymmetric unit holds Rb at (0.000, 0.000, 0.103), As at (0.000, 0.500, 0.250) and Br at (0.000, 0.000, 0.500).


If we sort the structures by their calculated energies, the order from most to least stable is #ii, #i.


#i
Below is a geometry-optimized RbAsRuBr2 structure, with properties calculated at the PBE-GGA level.

It has space group P4/mmm (No. 123), with a = 5.497 Å, b = 5.497 Å, c = 4.644 Å, α = 90.00°, β = 90.00° and γ = 90.00°. The asymmetric unit holds Rb at (0.000, 0.000, 0.000), As at (0.500, 0.500, 0.000), Ru at (0.500, 0.500, 0.500) and Br at (0.000, 0.500, 0.500).


#ii
Below is a geometry-optimized RbAsRuBr2 structure, with properties calculated at the PBE-GGA level.

It has space group P4/mmm (No. 123), with a = 6.072 Å, b = 6.072 Å, c = 5.875 Å, α = 90.00°, β = 90.00° and γ = 90.00°. The asymmetric unit holds Rb at (0.000, 0.000, 0.000), As at (0.000, 0.000, 0.500), Ru at (0.500, 0.500, 0.500) and Br at (0.000, 0.500, 0.000).


If we sort the structures by their calculated energies, the order from most to least stable is #i, #ii.


#i
Below is a geometry-optimized RbAs2SBr structure, with properties calculated at the PBE-GGA level.

It has space group P4/mmm (No. 123), with a = 4.779 Å, b = 4.779 Å, c = 8.543 Å, α = 90.00°, β = 90.00° and γ = 90.00°. The asymmetric unit holds Rb at (0.000, 0.000, 0.000), As at (0.000, 0.500, 0.500), S at (0.500, 0.500, 0.500) and Br at (0.500, 0.500, 0.000).


#ii
Below is a geometry-optimized RbAs2SBr structure, with properties calculated at the PBE-GGA level.

It has space group P4/mmm (No. 123), with a = 7.617 Å, b = 7.617 Å, c = 6.403 Å, α = 90.00°, β = 90.00° and γ = 90.00°. The asymmetric unit holds Rb at (0.000, 0.000, 0.000), As at (0.000, 0.500, 0.000), S at (0.500, 0.500, 0.500) and Br at (0.000, 0.000, 0.500).


If we sort the structures by their calculated energies, the order from most to least stable is #i, #ii.


#i
Below is a geometry-optimized RbScAs2Br structure, with properties calculated at the PBE-GGA level.

It has space group P4/mmm (No. 123), with a = 5.483 Å, b = 5.483 Å, c = 5.723 Å, α = 90.00°, β = 90.00° and γ = 90.00°. The asymmetric unit holds Rb at (0.000, 0.000, 0.000), Sc at (0.500, 0.500, 0.500), As at (0.000, 0.500, 0.000) and Br at (0.000, 0.000, 0.500).


#ii
Below is a geometry-optimized RbScAs2Br structure, with properties calculated at the PBE-GGA level.

It has space group P4/mmm (No. 123), with a = 5.199 Å, b = 5.199 Å, c = 5.774 Å, α = 90.00°, β = 90.00° and γ = 90.00°. The asymmetric unit holds Rb at (0.000, 0.000, 0.000), Sc at (0.500, 0.500, 0.500), As at (0.000, 0.500, 0.500) and Br at (0.500, 0.500, 0.000).


If we sort the structures by their calculated energies, the order from most to least stable is #ii, #i.


#i
Below is a geometry-optimized RbSiAsBr2 structure, with properties calculated at the PBE-GGA level.

It has space group P4/mmm (No. 123), with a = 5.572 Å, b = 5.572 Å, c = 4.977 Å, α = 90.00°, β = 90.00° and γ = 90.00°. The asymmetric unit holds Rb at (0.000, 0.000, 0.000), Si at (0.500, 0.500, 0.500), As at (0.500, 0.500, 0.000) and Br at (0.000, 0.500, 0.500).


#ii
Below is a geometry-optimized RbSiAsBr2 structure, with properties calculated at the PBE-GGA level.

It has space group P4/mmm (No. 123), with a = 6.307 Å, b = 6.307 Å, c = 6.429 Å, α = 90.00°, β = 90.00° and γ = 90.00°. The asymmetric unit holds Rb at (0.000, 0.000, 0.000), Si at (0.500, 0.500, 0.500), As at (0.000, 0.000, 0.500) and Br at (0.000, 0.500, 0.000).


If we sort the structures by their calculated energies, the order from most to least stable is #i, #ii.


#i
Below is a geometry-optimized RbSiAs2Br structure, with properties calculated at the PBE-GGA level.

It has space group P4/mmm (No. 123), with a = 6.655 Å, b = 6.655 Å, c = 6.152 Å, α = 90.00°, β = 90.00° and γ = 90.00°. The asymmetric unit holds Rb at (0.000, 0.000, 0.000), Si at (0.500, 0.500, 0.500), As at (0.000, 0.500, 0.000) and Br at (0.000, 0.000, 0.500).


#ii
Below is a geometry-optimized RbSiAs2Br structure, with properties calculated at the PBE-GGA level.

It has space group P4/mmm (No. 123), with a = 4.774 Å, b = 4.774 Å, c = 6.843 Å, α = 90.00°, β = 90.00° and γ = 90.00°. The asymmetric unit holds Rb at (0.000, 0.000, 0.000), Si at (0.500, 0.500, 0.500), As at (0.000, 0.500, 0.500) and Br at (0.500, 0.500, 0.000).


If we sort the structures by their calculated energies, the order from most to least stable is #ii, #i.